# 1
Computed, not measured: Rb3Np3PbSe8 after structural relaxation at the PBE-GGA level of DFT.

Computed properties:
**Density**: 5.92 g cm⁻³
**Formation energy (no corrections)**: -1.13 eV per atom
**Magnetic moment**: 10.00 μB/f.u.

Lattice parameters (Å, degrees): 8.566 8.567 9.383 117.18 90.00 120.00
Last column: magnetic moment on the atom in μB.
Fractional positions:
Se  0.756  0.049  0.305  -0.11
Se  0.708  0.951  0.695  -0.11
Se  0.244  0.487  0.695  -0.11
Se  0.244  0.951  0.695  -0.11
Se  0.756  0.513  0.305  -0.11
Se  0.731  0.463  0.694  -0.09
Se  0.269  0.537  0.306  -0.09
Se  0.292  0.049  0.305  -0.11
Np  0.500  0.000  0.500  3.60
Np  0.500  0.500  0.500  3.60
Np  0.000  0.500  0.500  3.60
Rb  0.000  0.500  0.000  0.00
Rb  0.000  0.000  0.000  0.00
Rb  0.500  0.500  0.000  0.00
Pb  0.000  0.000  0.500  -0.01

# 2
Computed, not measured: Rb3NpPb2Se6 after structural relaxation at the PBE-GGA level of DFT.

Computed properties:
**Density**: 5.74 g cm⁻³
**Formation energy (no corrections)**: -0.99 eV per atom
**Magnetic moment**: 2.00 μB/f.u.

Lattice parameters (Å, degrees): 7.658 7.658 8.272 98.89 98.89 119.92
Last column: magnetic moment on the atom in μB.
Fractional positions:
Se  0.066  0.369  0.198  -0.09
Se  0.934  0.631  0.802  -0.09
Se  0.766  0.766  0.200  -0.10
Se  0.369  0.066  0.198  -0.09
Se  0.631  0.934  0.802  -0.09
Se  0.234  0.234  0.800  -0.10
Rb  0.175  0.825  0.500  0.00
Rb  0.500  0.500  0.500  0.00
Rb  0.825  0.175  0.500  0.00
Pb  0.334  0.666  0.000  -0.01
Pb  0.666  0.334  0.000  -0.01
Np  0.000  0.000  0.000  2.88

# 3
Computed, not measured: Rb3Np2PbSe6 after structural relaxation at the PBE-GGA level of DFT.

Computed properties:
**Density**: 5.98 g cm⁻³
**Formation energy (no corrections)**: -1.15 eV per atom
**Magnetic moment**: 7.00 μB/f.u.

Lattice parameters (Å, degrees): 7.546 7.546 8.330 98.70 98.70 119.96
Last column: magnetic moment on the atom in μB.
Fractional positions:
Rb  0.500  0.500  0.500  0.00
Rb  0.840  0.160  0.500  0.00
Rb  0.160  0.840  0.500  0.00
Se  0.710  0.710  0.196  -0.08
Se  0.422  0.066  0.198  -0.08
Se  0.934  0.578  0.802  -0.08
Se  0.066  0.422  0.198  -0.08
Se  0.578  0.934  0.802  -0.08
Se  0.290  0.290  0.804  -0.08
Pb  0.000  0.000  0.000  0.00
Np  0.667  0.333  0.000  3.69
Np  0.333  0.667  0.000  3.69

# 4
Computed, not measured: Rb2NpPbSe4 after structural relaxation at the PBE-GGA level of DFT.

Computed properties:
**Density**: 5.83 g cm⁻³
**Formation energy (no corrections)**: -1.06 eV per atom
**Magnetic moment**: 3.00 μB/f.u.

Lattice parameters (Å, degrees): 4.373 8.281 7.671 72.69 90.00 90.00
Last column: magnetic moment on the atom in μB.
Fractional positions:
Np  0.000  0.500  0.500  3.40
Rb  0.500  0.000  0.500  0.00
Rb  0.000  0.000  0.000  0.00
Pb  0.500  0.500  0.000  -0.01
Se  0.000  0.700  0.740  -0.07
Se  0.500  0.306  0.712  -0.08
Se  0.000  0.300  0.260  -0.07
Se  0.500  0.694  0.288  -0.08